Entry 1:
First-principles (GGA-PBE) data for a geometry-optimized Pm3Ho2In2 structure, as listed in the Alexandria database.

Summary:
- Total moment: 0.094 μB/f.u.
- DFT total energy: -0.158 Ha/atom
- E above lowest polymorph: 0.00 eV per formula unit
- Calculated formation energy: -0.164 eV/atom

```
data_Pm3Ho2In2
_chemical_formula_sum 'Pm6 Ho4 In4'
_symmetry_space_group_name_H-M 'C m m m'
_symmetry_Int_Tables_number 65
_symmetry_space_group_name_Hall '-C 2 2'
_cell_length_a 4.953
_cell_length_b 24.002
_cell_length_c 3.507
_cell_angle_alpha 90.00
_cell_angle_beta 90.00
_cell_angle_gamma 90.00
loop_
_atom_site_label
_atom_site_type_symbol
_atom_site_fract_x
_atom_site_fract_y
_atom_site_fract_z
Pm1 Pm 0.000 0.000 0.000
Pm2 Pm 0.000 0.142 0.000
Ho1 Ho 0.000 0.287 0.500
In1 In 0.000 0.429 0.500
```

Entry 2:
First-principles (GGA-PBE) data for a geometry-optimized NbZn2TcN4 structure, as listed in the Alexandria database.

Summary:
- Uncorrected formation energy: -0.077 eV/atom
- Total moment: 1.112 μB/f.u.
- DFT total energy: -0.261 Ha/atom

```
data_NbZn2TcN4
_chemical_formula_sum 'Nb2 Zn4 Tc2 N8'
_symmetry_space_group_name_H-M 'I -4 2 m'
_symmetry_Int_Tables_number 121
_symmetry_space_group_name_Hall 'I -4 2'
_cell_length_a 4.723
_cell_length_b 4.723
_cell_length_c 9.257
_cell_angle_alpha 90.00
_cell_angle_beta 90.00
_cell_angle_gamma 90.00
loop_
_atom_site_label
_atom_site_type_symbol
_atom_site_fract_x
_atom_site_fract_y
_atom_site_fract_z
Nb1 Nb 0.000 0.000 0.000
Zn1 Zn 0.000 0.500 0.250
Tc1 Tc 0.000 0.000 0.500
N1 N 0.246 0.246 0.617
```

Entry 3:
First-principles (GGA-PBE) data for a geometry-optimized AlSbCl2 structure, as listed in the Alexandria database.

Summary:
- Uncorrected formation energy: -0.046 eV/atom
- Total moment: 0.000 μB/f.u.
- DFT total energy: -0.108 Ha/atom
- E above lowest polymorph: 2.40 eV per formula unit

```
data_AlSbCl2
_chemical_formula_sum 'Al2 Sb2 Cl4'
_symmetry_space_group_name_H-M 'I -4 m 2'
_symmetry_Int_Tables_number 119
_symmetry_space_group_name_Hall 'I -4 -2'
_cell_length_a 4.065
_cell_length_b 4.065
_cell_length_c 11.647
_cell_angle_alpha 90.00
_cell_angle_beta 90.00
_cell_angle_gamma 90.00
loop_
_atom_site_label
_atom_site_type_symbol
_atom_site_fract_x
_atom_site_fract_y
_atom_site_fract_z
Al1 Al 0.000 0.000 0.000
Sb1 Sb 0.000 0.500 0.250
Cl1 Cl 0.000 0.000 0.500
Cl2 Cl 0.000 0.500 0.750
```

Entry 4:
First-principles (GGA-PBE) data for a geometry-optimized Nb3TeAs structure, as listed in the Alexandria database.

Summary:
- Uncorrected formation energy: 0.627 eV/atom
- Total moment: 0.000 μB/f.u.
- DFT total energy: -0.256 Ha/atom
- E above lowest polymorph: 0.00 eV per formula unit

```
data_Nb3TeAs
_chemical_formula_sum 'Nb3 Te1 As1'
_symmetry_space_group_name_H-M 'P m -3 m'
_symmetry_Int_Tables_number 221
_symmetry_space_group_name_Hall '-P 4 2 3'
_cell_length_a 4.810
_cell_length_b 4.810
_cell_length_c 4.810
_cell_angle_alpha 90.00
_cell_angle_beta 90.00
_cell_angle_gamma 90.00
loop_
_atom_site_label
_atom_site_type_symbol
_atom_site_fract_x
_atom_site_fract_y
_atom_site_fract_z
Nb1 Nb 0.000 0.000 0.500
Te1 Te 0.500 0.500 0.500
As1 As 0.000 0.000 0.000
```

The lowest DFT total energy belongs to which entry?
NbZn2TcN4

Which value of DFT total energy does entry 1 give?
-0.158 Ha/atom

What is the DFT total energy in the second record?
-0.261 Ha/atom

Repeat the fourth record exactly.
First-principles (GGA-PBE) data for a geometry-optimized Nb3TeAs structure, as listed in the Alexandria database.

Summary:
- Uncorrected formation energy: 0.627 eV/atom
- Total moment: 0.000 μB/f.u.
- DFT total energy: -0.256 Ha/atom
- E above lowest polymorph: 0.00 eV per formula unit

```
data_Nb3TeAs
_chemical_formula_sum 'Nb3 Te1 As1'
_symmetry_space_group_name_H-M 'P m -3 m'
_symmetry_Int_Tables_number 221
_symmetry_space_group_name_Hall '-P 4 2 3'
_cell_length_a 4.810
_cell_length_b 4.810
_cell_length_c 4.810
_cell_angle_alpha 90.00
_cell_angle_beta 90.00
_cell_angle_gamma 90.00
loop_
_atom_site_label
_atom_site_type_symbol
_atom_site_fract_x
_atom_site_fract_y
_atom_site_fract_z
Nb1 Nb 0.000 0.000 0.500
Te1 Te 0.500 0.500 0.500
As1 As 0.000 0.000 0.000
```